First-principles (PBE) data for Mn2TlS after structural relaxation, as listed in the Alexandria database.

The calculation puts the final energy at -6.01 eV per atom. The calculation puts the excess energy over the best structure of this formula in the dataset at 0 meV per atom. The calculation puts the size of the total moment at 31.04 Bohr magnetons per cell. The uncorrected formation energy is 0.20 eV/atom. Its crystal system is tetragonal.

Structure (CIF):
```
data_Mn2TlS
_symmetry_space_group_name_H-M 'I -4 2 d'
_symmetry_Int_Tables_number 122
_symmetry_space_group_name_Hall 'I -4 2bw'
_cell_length_a 7.0102
_cell_length_b 7.0102
_cell_length_c 6.3979
_cell_angle_alpha 90.00
_cell_angle_beta 90.00
_cell_angle_gamma 90.00
loop_
_atom_site_label
_atom_site_type_symbol
_atom_site_fract_x
_atom_site_fract_y
_atom_site_fract_z
_atom_site_occupancy
Mn1 Mn 0.1932 0.7500 0.1250 1
Tl1 Tl 0.0000 0.0000 0.5000 1
S1 S 0.0000 0.0000 0.0000 1
```


First-principles (PBE) data for MnTlS2 after structural relaxation, as listed in the Alexandria database.

The calculation puts the final energy at -5.27 eV per atom. The calculation puts the size of the total moment at 16.05 Bohr magnetons per cell. The uncorrected formation energy is -0.32 eV/atom. Its crystal system is orthorhombic.

Structure (CIF):
```
data_MnTlS2
_symmetry_space_group_name_H-M 'C m c m'
_symmetry_Int_Tables_number 63
_symmetry_space_group_name_Hall '-C 2c 2'
_cell_length_a 4.3454
_cell_length_b 21.1010
_cell_length_c 4.6424
_cell_angle_alpha 90.00
_cell_angle_beta 90.00
_cell_angle_gamma 90.00
loop_
_atom_site_label
_atom_site_type_symbol
_atom_site_fract_x
_atom_site_fract_y
_atom_site_fract_z
_atom_site_occupancy
Mn1 Mn 0.0000 0.0634 0.2500 1
Tl1 Tl 0.0000 0.3203 0.2500 1
S1 S 0.0000 0.0477 0.7500 1
S2 S 0.0000 0.1689 0.2500 1
```


First-principles (PBE) data for MnTlS2 after structural relaxation, as listed in the Alexandria database.

The calculation puts the final energy at -5.21 eV per atom. The calculation puts the size of the total moment at 15.06 Bohr magnetons per cell. The uncorrected formation energy is -0.26 eV/atom. Its crystal system is orthorhombic.

Structure (CIF):
```
data_MnTlS2
_symmetry_space_group_name_H-M 'C m c m'
_symmetry_Int_Tables_number 63
_symmetry_space_group_name_Hall '-C 2c 2'
_cell_length_a 3.2998
_cell_length_b 27.4528
_cell_length_c 3.8617
_cell_angle_alpha 90.00
_cell_angle_beta 90.00
_cell_angle_gamma 90.00
loop_
_atom_site_label
_atom_site_type_symbol
_atom_site_fract_x
_atom_site_fract_y
_atom_site_fract_z
_atom_site_occupancy
Mn1 Mn 0.0000 0.1936 0.2500 1
Tl1 Tl 0.0000 0.4456 0.2500 1
S1 S 0.0000 0.2819 0.2500 1
S2 S 0.0000 0.3698 0.7500 1
```


First-principles (PBE) data for MnTlS2 after structural relaxation, as listed in the Alexandria database.

The calculation puts the final energy at -4.20 eV per atom. The calculation puts the size of the total moment at 0.18 Bohr magnetons per cell. The uncorrected formation energy is 0.74 eV/atom. Its crystal system is tetragonal.

Structure (CIF):
```
data_MnTlS2
_symmetry_space_group_name_H-M 'P 4/m m m'
_symmetry_Int_Tables_number 123
_symmetry_space_group_name_Hall '-P 4 2'
_cell_length_a 4.6888
_cell_length_b 4.6888
_cell_length_c 3.2533
_cell_angle_alpha 90.00
_cell_angle_beta 90.00
_cell_angle_gamma 90.00
loop_
_atom_site_label
_atom_site_type_symbol
_atom_site_fract_x
_atom_site_fract_y
_atom_site_fract_z
_atom_site_occupancy
Mn1 Mn 0.0000 0.0000 0.0000 1
Tl1 Tl 0.5000 0.5000 0.0000 1
S1 S 0.0000 0.5000 0.5000 1
```


First-principles (PBE) data for MnTlS2 after structural relaxation, as listed in the Alexandria database.

The calculation puts the final energy at -5.14 eV per atom. The calculation puts the size of the total moment at 4.86 Bohr magnetons per cell. The uncorrected formation energy is -0.20 eV/atom. Its crystal system is tetragonal.

Structure (CIF):
```
data_MnTlS2
_symmetry_space_group_name_H-M 'P 4/m m m'
_symmetry_Int_Tables_number 123
_symmetry_space_group_name_Hall '-P 4 2'
_cell_length_a 3.8688
_cell_length_b 3.8688
_cell_length_c 5.7053
_cell_angle_alpha 90.00
_cell_angle_beta 90.00
_cell_angle_gamma 90.00
loop_
_atom_site_label
_atom_site_type_symbol
_atom_site_fract_x
_atom_site_fract_y
_atom_site_fract_z
_atom_site_occupancy
Mn1 Mn 0.0000 0.0000 0.0000 1
Tl1 Tl 0.5000 0.5000 0.5000 1
S1 S 0.0000 0.0000 0.5000 1
S2 S 0.5000 0.5000 0.0000 1
```


First-principles (PBE) data for MnTlS2 after structural relaxation, as listed in the Alexandria database.

The calculation puts the final energy at -5.29 eV per atom. The calculation puts the size of the total moment at 1.71 Bohr magnetons per cell. The uncorrected formation energy is -0.34 eV/atom. Its crystal system is triclinic.

Structure (CIF):
```
data_MnTlS2
_symmetry_space_group_name_H-M 'P 1'
_symmetry_Int_Tables_number 1
_symmetry_space_group_name_Hall 'P 1'
_cell_length_a 3.2398
_cell_length_b 3.2454
_cell_length_c 8.5927
_cell_angle_alpha 89.88
_cell_angle_beta 89.59
_cell_angle_gamma 60.32
loop_
_atom_site_label
_atom_site_type_symbol
_atom_site_fract_x
_atom_site_fract_y
_atom_site_fract_z
_atom_site_occupancy
Mn1 Mn 0.0000 0.0000 0.0000 1
Tl1 Tl 0.7212 0.9467 0.4999 1
S1 S 0.3294 0.3340 0.1595 1
S2 S 0.3365 0.3322 0.8406 1
```